# Al2InRh (PBE-GGA, optimized geometry)
data_Al2InRh
_space_group_name_H-M_alt 'I -4 m 2'
_space_group_IT_number 119
_space_group_name_Hall 'I -4 -2'
_cell_length_a 4.031
_cell_length_b 4.031
_cell_length_c 8.119
_cell_angle_alpha 90.00
_cell_angle_beta 90.00
_cell_angle_gamma 90.00
loop_
_atom_site_label
_atom_site_type_symbol
_atom_site_fract_x
_atom_site_fract_y
_atom_site_fract_z
Al1 Al 0.000 0.000 0.000
Al2 Al 0.000 0.500 0.250
In1 In 0.000 0.500 0.750
Rh1 Rh 0.000 0.000 0.500
# M_tot ... 0.0 Bohr magnetons per cell
# Formation enthalpy at 0 K ... -0.922 eV per formula unit

---

# Al2InRh (PBE-GGA, optimized geometry)
data_Al2InRh
_space_group_name_H-M_alt 'P 1 2/m 1'
_space_group_IT_number 10
_cell_length_a 3.149
_cell_length_b 4.203
_cell_length_c 5.419
_cell_angle_alpha 90.00
_cell_angle_beta 104.30
_cell_angle_gamma 90.00
loop_
_space_group_symop_operation_xyz
'x,y,z'
'-x,-y,-z'
'-x,y,-z'
'x,-y,z'
loop_
_atom_site_label
_atom_site_type_symbol
_atom_site_fract_x
_atom_site_fract_y
_atom_site_fract_z
Al1 Al 0.135 0.000 0.276
In1 In 0.500 0.500 0.000
Rh1 Rh 0.500 0.500 0.500
# M_tot ... 0.0 Bohr magnetons per cell
# Formation enthalpy at 0 K ... -0.904 eV per formula unit

---

# AlIn2Rh (PBE-GGA, optimized geometry)
data_AlIn2Rh
_space_group_name_H-M_alt 'P 4 m m'
_space_group_IT_number 99
_cell_length_a 3.044
_cell_length_b 3.044
_cell_length_c 8.490
_cell_angle_alpha 90.00
_cell_angle_beta 90.00
_cell_angle_gamma 90.00
loop_
_space_group_symop_operation_xyz
'x,y,z'
'-y,x,z'
'-x,-y,z'
'y,-x,z'
'-x,y,z'
'y,x,z'
'x,-y,z'
'-y,-x,z'
loop_
_atom_site_label
_atom_site_type_symbol
_atom_site_fract_x
_atom_site_fract_y
_atom_site_fract_z
Al1 Al 0.000 0.000 0.000
In1 In 0.000 0.000 0.609
In2 In 0.500 0.500 0.281
Rh1 Rh 0.500 0.500 0.841
# M_tot ... 0.0 Bohr magnetons per cell
# Formation enthalpy at 0 K ... -1.169 eV per formula unit

---

# AlIn2Rh (PBE-GGA, optimized geometry)
data_AlIn2Rh
_space_group_name_H-M_alt 'C m m m'
_space_group_IT_number 65
_space_group_name_Hall '-C 2 2'
_cell_length_a 5.553
_cell_length_b 8.072
_cell_length_c 3.339
_cell_angle_alpha 90.00
_cell_angle_beta 90.00
_cell_angle_gamma 90.00
loop_
_atom_site_label
_atom_site_type_symbol
_atom_site_fract_x
_atom_site_fract_y
_atom_site_fract_z
Al1 Al 0.000 0.000 0.000
In1 In 0.250 0.250 0.500
Rh1 Rh 0.000 0.500 0.000
# M_tot ... 0.0 Bohr magnetons per cell
# Formation enthalpy at 0 K ... -0.243 eV per formula unit

---

# AlIn2Rh (PBE-GGA, optimized geometry)
data_AlIn2Rh
_space_group_name_H-M_alt 'P 4/m m m'
_space_group_IT_number 123
_space_group_name_Hall '-P 4 2'
_cell_length_a 3.064
_cell_length_b 3.064
_cell_length_c 8.334
_cell_angle_alpha 90.00
_cell_angle_beta 90.00
_cell_angle_gamma 90.00
loop_
_atom_site_label
_atom_site_type_symbol
_atom_site_fract_x
_atom_site_fract_y
_atom_site_fract_z
Al1 Al 0.000 0.000 0.000
In1 In 0.500 0.500 0.284
Rh1 Rh 0.000 0.000 0.500
# M_tot ... 0.0 Bohr magnetons per cell
# Formation enthalpy at 0 K ... -0.296 eV per formula unit

---

# AlIn3Rh (PBE-GGA, optimized geometry)
data_AlIn3Rh
_space_group_name_H-M_alt 'P m -3 m'
_space_group_IT_number 221
_space_group_name_Hall '-P 4 2 3'
_cell_length_a 5.130
_cell_length_b 5.130
_cell_length_c 5.130
_cell_angle_alpha 90.00
_cell_angle_beta 90.00
_cell_angle_gamma 90.00
loop_
_atom_site_label
_atom_site_type_symbol
_atom_site_fract_x
_atom_site_fract_y
_atom_site_fract_z
Al1 Al 0.000 0.000 0.000
In1 In 0.000 0.500 0.500
Rh1 Rh 0.500 0.500 0.500
# M_tot ... 0.0 Bohr magnetons per cell
# Formation enthalpy at 0 K ... 0.471 eV per formula unit
# Relative energy among the computed polymorphs ... 0 meV per atom

---

# Al4InRh5 (PBE-GGA, optimized geometry)
data_Al4InRh5
_space_group_name_H-M_alt 'P 4/m m m'
_space_group_IT_number 123
_space_group_name_Hall '-P 4 2'
_cell_length_a 2.992
_cell_length_b 2.992
_cell_length_c 15.904
_cell_angle_alpha 90.00
_cell_angle_beta 90.00
_cell_angle_gamma 90.00
loop_
_atom_site_label
_atom_site_type_symbol
_atom_site_fract_x
_atom_site_fract_y
_atom_site_fract_z
Al1 Al 0.000 0.000 0.096
Al2 Al 0.000 0.000 0.288
In1 In 0.000 0.000 0.500
Rh1 Rh 0.500 0.500 0.000
Rh2 Rh 0.500 0.500 0.189
Rh3 Rh 0.500 0.500 0.379
# M_tot ... 0.0 Bohr magnetons per cell
# Formation enthalpy at 0 K ... -9.594 eV per formula unit

---

# AlIn2Rh (PBE-GGA, optimized geometry)
data_AlIn2Rh
_space_group_name_H-M_alt 'C 1 2/m 1'
_space_group_IT_number 12
_cell_length_a 9.504
_cell_length_b 3.283
_cell_length_c 4.873
_cell_angle_alpha 90.00
_cell_angle_beta 98.61
_cell_angle_gamma 90.00
loop_
_space_group_symop_operation_xyz
'x,y,z'
'-x,-y,-z'
'-x,y,-z'
'x,-y,z'
'x+1/2,y+1/2,z'
'-x+1/2,-y+1/2,-z'
'-x+1/2,y+1/2,-z'
'x+1/2,-y+1/2,z'
loop_
_atom_site_label
_atom_site_type_symbol
_atom_site_fract_x
_atom_site_fract_y
_atom_site_fract_z
Al1 Al 0.000 0.000 0.000
In1 In 0.240 0.000 0.740
Rh1 Rh 0.000 0.500 0.500
# M_tot ... 0.0 Bohr magnetons per cell
# Formation enthalpy at 0 K ... -0.254 eV per formula unit

---

# AlIn2Rh (PBE-GGA, optimized geometry)
data_AlIn2Rh
_space_group_name_H-M_alt 'P 1 m 1'
_space_group_IT_number 6
_cell_length_a 3.718
_cell_length_b 4.150
_cell_length_c 5.405
_cell_angle_alpha 90.00
_cell_angle_beta 109.87
_cell_angle_gamma 90.00
loop_
_space_group_symop_operation_xyz
'x,y,z'
'x,-y,z'
loop_
_atom_site_label
_atom_site_type_symbol
_atom_site_fract_x
_atom_site_fract_y
_atom_site_fract_z
Al1 Al 0.000 0.000 0.000
In1 In 0.280 0.000 0.554
In2 In 0.587 0.500 0.176
Rh1 Rh 0.869 0.500 0.735
# M_tot ... 0.0 Bohr magnetons per cell
# Formation enthalpy at 0 K ... -0.910 eV per formula unit

---

# Al2InRh (PBE-GGA, optimized geometry)
data_Al2InRh
_space_group_name_H-M_alt 'C m m m'
_space_group_IT_number 65
_space_group_name_Hall '-C 2 2'
_cell_length_a 5.458
_cell_length_b 7.882
_cell_length_c 3.126
_cell_angle_alpha 90.00
_cell_angle_beta 90.00
_cell_angle_gamma 90.00
loop_
_atom_site_label
_atom_site_type_symbol
_atom_site_fract_x
_atom_site_fract_y
_atom_site_fract_z
Al1 Al 0.250 0.250 0.000
In1 In 0.000 0.000 0.500
Rh1 Rh 0.000 0.500 0.500
# M_tot ... 0.0 Bohr magnetons per cell
# Formation enthalpy at 0 K ... -0.714 eV per formula unit

---

# AlIn3Rh (PBE-GGA, optimized geometry)
data_AlIn3Rh
_space_group_name_H-M_alt 'P m -3 m'
_space_group_IT_number 221
_space_group_name_Hall '-P 4 2 3'
_cell_length_a 5.133
_cell_length_b 5.133
_cell_length_c 5.133
_cell_angle_alpha 90.00
_cell_angle_beta 90.00
_cell_angle_gamma 90.00
loop_
_atom_site_label
_atom_site_type_symbol
_atom_site_fract_x
_atom_site_fract_y
_atom_site_fract_z
Al1 Al 0.000 0.000 0.000
In1 In 0.000 0.000 0.500
Rh1 Rh 0.500 0.500 0.500
# M_tot ... 0.0 Bohr magnetons per cell
# Formation enthalpy at 0 K ... 4.247 eV per formula unit
# Relative energy among the computed polymorphs ... 755 meV per atom

---

# AlIn2Rh (PBE-GGA, optimized geometry)
data_AlIn2Rh
_space_group_name_H-M_alt 'I m m 2'
_space_group_IT_number 44
_cell_length_a 2.949
_cell_length_b 4.560
_cell_length_c 12.283
_cell_angle_alpha 90.00
_cell_angle_beta 90.00
_cell_angle_gamma 90.00
loop_
_space_group_symop_operation_xyz
'x,y,z'
'-x,-y,z'
'-x,y,z'
'x,-y,z'
'x+1/2,y+1/2,z+1/2'
'-x+1/2,-y+1/2,z+1/2'
'-x+1/2,y+1/2,z+1/2'
'x+1/2,-y+1/2,z+1/2'
loop_
_atom_site_label
_atom_site_type_symbol
_atom_site_fract_x
_atom_site_fract_y
_atom_site_fract_z
Al1 Al 0.000 0.000 0.000
In1 In 0.000 0.000 0.623
In2 In 0.000 0.500 0.818
Rh1 Rh 0.000 0.500 0.332
# M_tot ... 0.0 Bohr magnetons per cell
# Formation enthalpy at 0 K ... -0.934 eV per formula unit